Compound: K3V2MoO8
Source: Alexandria via LeMat-Bulk
Functional: PBE with a Hubbard U
Structure: relaxed

Lattice parameters (Å, degrees): 5.8626 5.8626 7.5808 90.00 90.00 120.00
Site moments in Bohr magnetons follow the coordinates.
Fractional positions:
K: 0.3333 0.6667 0.6877  0.00
K: 0.6667 0.3333 0.3123  0.00
K: 0.0000 0.0000 0.0000  0.00
V: 0.3333 0.6667 0.2515  0.10
V: 0.6667 0.3333 0.7485  0.10
Mo: 0.0000 0.0000 0.5000  2.62
O: 0.3333 0.6667 0.0298  0.01
O: 0.6667 0.3333 0.9702  0.01
O: 0.1700 0.8300 0.3320  0.00
O: 0.8300 0.1700 0.6680  0.00
O: 0.1700 0.3400 0.3320  0.00
O: 0.8300 0.6600 0.6680  0.00
O: 0.6600 0.8300 0.3320  0.00
O: 0.3400 0.1700 0.6680  0.00

Calculated values
- Final energy: -6.612 eV per atom
- Symmetry: P-3m1, No. 164
- Density: 3.261 g/cm³